Record 1
3
Lattice="-2.523 -1.589 -3.721 -4.018 -2.494 0.608 2.348 4.063 0.843" Properties=species:S:1:pos:R:3 comment="CrIrW | Alexandria | PBE | relaxed" relative_energy_mev_per_atom=54.1 formation_enthalpy_0k_mev_per_atom=11 pbc="T T T"
Cr -6.514 -4.066 -3.100
Ir -2.221 -1.386 -1.057
W -4.348 -2.714 -2.069

Record 2
6
Lattice="0.000 3.863 3.863 3.863 0.000 3.863 3.863 3.863 0.000" Properties=species:S:1:pos:R:3 comment="Ta4BeSe | Alexandria | PBE | relaxed" raw_formation_energy_ev_per_atom=0.80 pbc="T T T"
Ta 4.815 2.911 4.815
Ta 4.815 4.815 2.911
Be 5.795 5.795 5.795
Ta 2.911 2.911 2.911
Ta 2.911 4.815 4.815
Se 0.000 0.000 0.000